i | First-principles (PBE-GGA) data for a geometry-optimized Cs2MgCrBr6 structure, as listed in Alexandria.

Lattice parameters (Å, degrees): 7.666 7.666 7.667 60.00 60.00 90.00
Each line ends with the local moment (μB).
Fractional positions:
Br 0.753 0.753 0.495  -0.01
Br 0.248 0.248 0.000  -0.01
Br 0.752 0.248 0.000  -0.01
Br 0.248 0.752 0.000  -0.01
Br 0.247 0.247 0.505  -0.01
Br 0.752 0.752 0.000  -0.01
Cs 0.750 0.250 0.500  0.00
Cs 0.250 0.750 0.500  0.00
Mg 0.500 0.500 0.000  0.02
Cr 0.000 0.000 0.000  3.64

## Properties
* calculated density: 4.3 Mg/m³

=====

ii | First-principles (PBE-GGA) data for a geometry-optimized Cs2MgCrBr6 structure, as listed in Alexandria.

Lattice parameters (Å, degrees): 7.737 7.737 13.553 73.41 73.41 60.00
Each line ends with the local moment (μB).
Fractional positions:
Br 0.294 0.792 0.123  -0.01
Br 0.614 0.614 0.631  -0.01
Br 0.386 0.386 0.369  -0.01
Br 0.858 0.386 0.369  -0.01
Br 0.792 0.294 0.123  -0.01
Br 0.386 0.858 0.369  -0.01
Br 0.792 0.792 0.123  -0.01
Br 0.614 0.142 0.631  -0.01
Br 0.208 0.208 0.877  -0.01
Br 0.208 0.706 0.877  -0.01
Br 0.706 0.208 0.877  -0.01
Br 0.142 0.614 0.631  -0.01
Cs 0.708 0.708 0.877  0.00
Cs 0.877 0.877 0.369  0.00
Cs 0.123 0.123 0.631  0.00
Cs 0.292 0.292 0.123  0.00
Mg 0.500 0.500 0.500  0.00
Mg 0.000 0.000 0.000  0.02
Cr 0.414 0.414 0.759  3.63
Cr 0.586 0.586 0.241  3.63

## Properties
* calculated density: 4.1 Mg/m³

=====

Most favorable structure: ii. The second most favorable one is 29 meV per atom above it.